First-principles (GGA-PBEsol) data for crystalline CoNi2Br at its relaxed geometry, as listed in the Alexandria database.

Lattice parameters (Å, degrees): 3.720 3.720 4.434 114.80 114.80 90.00
Atoms (fractional coordinates):
Ni (0.000, 0.000, 0.000)
Br (0.500, 0.500, 0.000)
Co (0.250, 0.750, 0.500)
Ni (0.750, 0.250, 0.500)

Calculated values
Crystal system = tetragonal
Formation energy from raw total energies = 657 meV/atom
E above lowest polymorph = 0.0 meV per atom

***

First-principles (GGA-PBEsol) data for crystalline Zn2Au at its relaxed geometry, as listed in the Alexandria database.

Lattice parameters (Å, degrees): 8.186 8.186 8.186 60.00 60.00 60.00
Atoms (fractional coordinates):
Zn (0.799, 0.799, 0.201)
Au (0.849, 0.454, 0.849)
Zn (0.201, 0.799, 0.799)
Au (0.401, 0.796, 0.401)
Zn (0.625, 0.625, 0.625)
Au (0.454, 0.849, 0.849)
Au (0.849, 0.849, 0.849)
Au (0.796, 0.401, 0.401)
Zn (0.625, 0.125, 0.625)
Au (0.849, 0.849, 0.454)
Au (0.401, 0.401, 0.796)
Zn (0.049, 0.049, 0.451)
Zn (0.049, 0.451, 0.451)
Zn (0.451, 0.049, 0.451)
Zn (0.799, 0.201, 0.799)
Zn (0.201, 0.201, 0.799)
Zn (0.625, 0.625, 0.125)
Zn (0.125, 0.625, 0.625)
Zn (0.049, 0.451, 0.049)
Zn (0.799, 0.201, 0.201)
Zn (0.451, 0.451, 0.049)
Zn (0.451, 0.049, 0.049)
Au (0.401, 0.401, 0.401)
Zn (0.201, 0.799, 0.201)

Calculated values
Crystal system = cubic
ΔE_f = -125 meV/atom

***

First-principles (GGA-PBEsol) data for crystalline RbAlMo2O8 at its relaxed geometry, as listed in the Alexandria database.

Lattice parameters (Å, degrees): 5.561 5.561 7.442 90.00 90.00 120.00
Atoms (fractional coordinates):
O (0.158, 0.842, 0.650)
O (0.684, 0.842, 0.650)
O (0.842, 0.684, 0.350)
O (0.316, 0.158, 0.350)
Al (0.000, 0.000, 0.500)
Mo (0.333, 0.667, 0.723)
Rb (0.000, 0.000, 0.000)
Mo (0.667, 0.333, 0.277)
O (0.158, 0.316, 0.650)
O (0.667, 0.333, 0.046)
O (0.333, 0.667, 0.954)
O (0.842, 0.158, 0.350)

Calculated values
Crystal system = trigonal
Formation energy from raw total energies = -2279 meV/atom